VASP calculation (PBE) on a relaxed ErAlRhAu crystal.

abc: 4.6796 4.6796 4.6796
angles: 60.00 60.00 60.00
Closest atoms and distances in Å follow each position.
Fractional coordinates of all 4 atoms:
1 Er 0.7500 0.7500 0.7500  4 Rh 2.87, 4 Au 2.87
2 Al 0.2500 0.2500 0.2500  4 Au 2.87, 4 Rh 2.87
3 Rh 0.5000 0.5000 0.5000  4 Al 2.87, 4 Er 2.87
4 Au 0.0000 0.0000 0.0000  4 Er 2.87, 4 Al 2.87

Density of states at the Fermi level: 0.777 states/eV/atom
Final energy: -5.451 eV per atom
SG: No. 216
Total magnetic moment: 0.000 μB per cell

=====

VASP calculation (PBE) on a relaxed Zn3CoNi2 crystal.

abc: 4.0863 6.4611 5.7500
angles: 90.00 90.00 71.57
Closest atoms and distances in Å follow each position.
Fractional coordinates of all 12 atoms:
1 Ni 0.0000 0.0000 0.5000  8 Zn 2.50-2.51
2 Zn 0.5000 0.0000 0.7517  2 Co 2.49, 6 Ni 2.49-2.50
3 Co 0.6661 0.6678 0.0000  8 Zn 2.49
4 Zn 0.5000 0.0000 0.2483  2 Co 2.49, 6 Ni 2.49-2.50
5 Ni 0.3341 0.3318 0.5000  8 Zn 2.50-2.51
6 Zn 0.8326 0.3348 0.2480  3 Co 2.49, 5 Ni 2.50-2.51
7 Zn 0.8326 0.3348 0.7520  3 Co 2.49, 5 Ni 2.50-2.51
8 Zn 0.1674 0.6652 0.7520  3 Co 2.49, 5 Ni 2.50-2.51
9 Ni 0.0000 0.0000 0.0000  8 Zn 2.49-2.50
10 Ni 0.6659 0.6682 0.5000  8 Zn 2.50-2.51
11 Zn 0.1674 0.6652 0.2480  3 Co 2.49, 5 Ni 2.50-2.51
12 Co 0.3339 0.3322 0.0000  8 Zn 2.49

Density of states at the Fermi level: 0.235 states/eV/atom
Final energy: -3.911 eV per atom
SG: No. 65
Total magnetic moment: 0.000 μB per cell

=====

VASP calculation (PBE) on a relaxed SrTaCd3 crystal.

abc: 5.4301 5.4301 5.4301
angles: 90.00 90.00 90.00
Closest atoms and distances in Å follow each position.
Fractional coordinates of all 5 atoms:
1 Cd 0.0000 0.5000 0.0000  2 Ta 2.72
2 Cd 0.0000 0.0000 0.5000  2 Ta 2.72
3 Cd 0.5000 0.0000 0.0000  2 Ta 2.72
4 Sr 0.5000 0.5000 0.5000  12 Cd 3.84
5 Ta 0.0000 0.0000 0.0000  6 Cd 2.72

Density of states at the Fermi level: 1.080 states/eV/atom
SG: No. 221
Total magnetic moment: 1.953 μB per cell
Energy above the lowest structure with this stoichiometry: 0 meV per atom

=====

VASP calculation (PBE) on a relaxed Pm4DyMg2 crystal.

abc: 5.6120 5.6120 9.5144
angles: 72.85 72.85 60.00
Closest atoms and distances in Å follow each position.
Fractional coordinates of all 7 atoms:
1 Mg 0.6216 0.6216 0.1353  4 Pm 3.26-3.35, 1 Dy 3.26
2 Pm 0.8695 0.8695 0.3914  3 Dy 3.38, 7 Pm 3.40-3.78
3 Pm 0.1305 0.1305 0.6086  3 Dy 3.38, 7 Pm 3.40-3.78
4 Pm 0.7429 0.7429 0.7712  4 Mg 3.26-3.35, 4 Pm 3.40-3.55
5 Mg 0.3784 0.3784 0.8647  4 Pm 3.26-3.35, 1 Dy 3.26
6 Pm 0.2571 0.2571 0.2288  4 Mg 3.26-3.35, 4 Pm 3.40-3.55
7 Dy 0.5000 0.5000 0.5000  2 Mg 3.26, 6 Pm 3.38

Density of states at the Fermi level: 1.368 states/eV/atom
Final energy: -3.564 eV per atom
SG: No. 166
Total magnetic moment: 0.000 μB per cell

=====

VASP calculation (PBE) on a relaxed K2AgPt crystal.

abc: 3.2420 3.2420 9.8981
angles: 90.00 90.00 90.00
Closest atoms and distances in Å follow each position.
Fractional coordinates of all 4 atoms:
1 Ag 0.5000 0.5000 0.7500  4 Ag 3.24, 8 K 3.53
2 Pt 0.5000 0.5000 0.2500  8 K 3.22, 4 Pt 3.24
3 K 0.0000 0.0000 0.0209  4 Pt 3.22, 4 K 3.24, 4 Ag 3.53
4 K 0.0000 0.0000 0.4791  4 Pt 3.22, 4 K 3.24, 4 Ag 3.53

Density of states at the Fermi level: 0.246 states/eV/atom
SG: No. 123
Total magnetic moment: 0.000 μB per cell
Energy above the lowest structure with this stoichiometry: 195 meV per atom

=====

VASP calculation (PBE) on a relaxed Sm6Si2H crystal.

abc: 6.3744 7.7711 9.3264
angles: 90.00 89.52 90.00
Closest atoms and distances in Å follow each position.
Fractional coordinates of all 18 atoms:
1 Sm 0.3683 0.5310 0.7463  1 H 2.53
2 Sm 0.6315 0.1807 0.5548  1 H 2.78, 2 Si 3.01-3.05
3 Si 0.9302 0.3800 0.7465  8 Sm 3.00-3.19
4 Si 0.0698 0.6200 0.2535  8 Sm 3.00-3.19
5 Sm 0.8685 0.6807 0.9452  1 H 2.78, 2 Si 3.01-3.05
6 Sm 0.3685 0.8193 0.4452  1 H 2.78, 2 Si 3.01-3.05
7 Si 0.5698 0.8800 0.7535  8 Sm 3.00-3.19
8 Sm 0.1317 0.0310 0.7537  1 H 2.53
9 H 0.5000 0.5000 0.0000  6 Sm 2.53-2.78
10 Sm 0.8683 0.9690 0.2463  1 H 2.53
11 Sm 0.3695 0.8070 0.0549  1 H 2.58
12 Sm 0.6305 0.1930 0.9451  1 H 2.58
13 Sm 0.8695 0.6930 0.5549  1 H 2.58
14 H 0.0000 0.0000 0.5000  6 Sm 2.53-2.78
15 Si 0.4302 0.1200 0.2465  8 Sm 3.00-3.19
16 Sm 0.6317 0.4690 0.2537  1 H 2.53
17 Sm 0.1315 0.3193 0.0548  1 H 2.78, 2 Si 3.01-3.05
18 Sm 0.1305 0.3070 0.4451  1 H 2.58

Density of states at the Fermi level: 1.098 states/eV/atom
Final energy: -5.137 eV per atom
SG: No. 14
Total magnetic moment: 0.000 μB per cell

=====

VASP calculation (PBE) on a relaxed Pm2TaNbN6 crystal.

abc: 5.6631 5.8040 8.0728
angles: 90.00 90.04 90.00
Closest atoms and distances in Å follow each position.
Fractional coordinates of all 20 atoms:
1 Pm 0.5122 0.5505 0.7499  6 N 2.43-2.66
2 N 0.7899 0.7904 0.9525  1 Ta 2.08, 1 Nb 2.10
3 N 0.7101 0.2904 0.5475  1 Ta 2.08, 1 Nb 2.10
4 N 0.7081 0.2882 0.9521  1 Ta 2.08, 1 Nb 2.10
5 N 0.4107 0.9762 0.7511  1 Ta 2.08, 1 Nb 2.09
6 Nb 0.0000 0.5000 0.0000  6 N 2.09-2.10
7 Pm 0.4878 0.4495 0.2501  6 N 2.43-2.66
8 N 0.0893 0.4762 0.7489  1 Ta 2.08, 1 Nb 2.09
9 N 0.2919 0.7118 0.0479  1 Ta 2.08, 1 Nb 2.10
10 Ta 0.0000 0.5000 0.5000  6 N 2.08
11 N 0.9107 0.5238 0.2511  1 Ta 2.08, 1 Nb 2.09
12 N 0.2081 0.2118 0.4521  1 Ta 2.08, 1 Nb 2.10
13 Pm 0.0122 0.9495 0.2499  6 N 2.43-2.66
14 Pm 0.9878 0.0505 0.7501  6 N 2.43-2.66
15 Ta 0.5000 0.0000 0.0000  6 N 2.08
16 N 0.7919 0.7882 0.5479  1 Ta 2.08, 1 Nb 2.10
17 Nb 0.5000 0.0000 0.5000  6 N 2.09-2.10
18 N 0.2899 0.7096 0.4525  1 Ta 2.08, 1 Nb 2.10
19 N 0.2101 0.2096 0.0475  1 Ta 2.08, 1 Nb 2.10
20 N 0.5893 0.0238 0.2489  1 Ta 2.08, 1 Nb 2.09

Formation energy from raw total energies: -0.948 eV/atom
Density of states at the Fermi level: 0.773 states/eV/atom
SG: No. 14
Total magnetic moment: 1.709 μB per cell

=====

VASP calculation (PBE) on a relaxed Cs3Pr3ErTe8 crystal.

abc: 9.1303 9.1330 10.6373
angles: 115.45 90.00 119.98
Closest atoms and distances in Å follow each position.
Fractional coordinates of all 15 atoms:
1 Cs 0.0000 0.0000 0.0000  6 Te 3.84-3.86
2 Te 0.2589 0.0338 0.3089  1 Er 3.10, 2 Pr 3.21
3 Te 0.7749 0.0338 0.3089  1 Er 3.10, 2 Pr 3.21
4 Te 0.2251 0.4503 0.6911  1 Er 3.10, 2 Pr 3.21
5 Te 0.7327 0.4654 0.6979  3 Pr 3.21
6 Cs 0.5000 0.5000 0.0000  6 Te 3.84-3.86
7 Pr 0.5000 0.5000 0.5000  6 Te 3.21
8 Te 0.7411 0.9662 0.6911  1 Er 3.10, 2 Pr 3.21
9 Te 0.7749 0.5497 0.3089  1 Er 3.10, 2 Pr 3.21
10 Te 0.2251 0.9662 0.6911  1 Er 3.10, 2 Pr 3.21
11 Te 0.2673 0.5346 0.3021  3 Pr 3.21
12 Pr 0.5000 0.0000 0.5000  6 Te 3.21
13 Pr 0.0000 0.5000 0.5000  6 Te 3.21
14 Cs 0.0000 0.5000 0.0000  6 Te 3.84-3.86
15 Er 0.0000 0.0000 0.5000  6 Te 3.10

Formation energy from raw total energies: -1.329 eV/atom
Density of states at the Fermi level: 0.659 states/eV/atom
SG: No. 166
Total magnetic moment: 0.000 μB per cell

=====

VASP calculation (PBE) on a relaxed MgInCl3 crystal.

abc: 5.0169 5.0169 5.0169
angles: 90.00 90.00 90.00
Closest atoms and distances in Å follow each position.
Fractional coordinates of all 5 atoms:
1 In 0.5000 0.5000 0.5000  12 Cl 3.55
2 Mg 0.0000 0.0000 0.0000  6 Cl 2.51
3 Cl 0.0000 0.5000 0.0000  2 Mg 2.51
4 Cl 0.5000 0.0000 0.0000  2 Mg 2.51
5 Cl 0.0000 0.0000 0.5000  2 Mg 2.51

Formation energy from raw total energies: -1.406 eV/atom
Density of states at the Fermi level: 0.000 states/eV/atom
SG: No. 221
Total magnetic moment: 0.000 μB per cell